{"formula": "NaSrCd", "functional": "PBE", "state": "relaxed", "lattice": [[-4.010, -2.300, 1.676], [0.252, -5.048, 1.270], [2.103, 2.861, 9.696]], "species": ["Sr", "Sr", "Na", "Na", "Cd", "Cd"], "fractional_positions": [[0.661, 0.169, 0.339], [0.339, 0.831, 0.661], [0.333, 0.832, 0.063], [0.667, 0.168, 0.937], [0.998, 0.505, 0.842], [0.002, 0.495, 0.158]], "magmom_total_mub_per_cell": 0.0, "formation_enthalpy_0k_kj_per_mol_atoms": -4.8, "spacegroup": "P-1, No. 2", "relative_energy_ev_per_atom": 0.135}

{"formula": "LaScCl2", "functional": "PBE", "state": "relaxed", "lattice": [[-1.892, -4.511, -0.372], [1.555, -0.905, 3.063], [-4.944, 1.822, 3.055]], "species": ["Sc", "La", "Cl", "Cl"], "fractional_positions": [[0.500, 0.875, 0.868], [0.000, 0.376, 0.519], [0.500, 0.374, 0.202], [0.000, 0.875, 0.911]], "magmom_total_mub_per_cell": 0.0, "e_form_raw_mev_per_atom": -1251.1, "spacegroup": "Pmm2, No. 25", "relative_energy_ev_per_atom": 0.120}

{"formula": "LiSm3Zn2", "functional": "PBE", "state": "relaxed", "lattice": [[3.687, 0.000, 0.000], [0.000, 3.687, 0.000], [0.000, 0.000, 11.062]], "species": ["Sm", "Sm", "Sm", "Zn", "Zn", "Li"], "fractional_positions": [[0.000, 0.000, 0.318], [0.000, 0.000, 0.000], [0.000, 0.000, 0.682], [0.500, 0.500, 0.164], [0.500, 0.500, 0.836], [0.500, 0.500, 0.500]], "magmom_total_mub_per_cell": 0.0, "formation_enthalpy_0k_kj_per_mol_atoms": -18.6, "spacegroup": "P4/mmm, No. 123"}

{"formula": "SeBr", "functional": "PBE", "state": "relaxed", "lattice": [[5.064, 0.000, 0.000], [2.532, 4.385, 0.000], [2.532, 1.462, 4.134]], "species": ["Br", "Br", "Se", "Se"], "fractional_positions": [[0.000, 0.000, 0.000], [0.250, 0.250, 0.250], [0.750, 0.750, 0.750], [0.500, 0.500, 0.500]], "magmom_total_mub_per_cell": 0.0, "e_form_raw_mev_per_atom": 624.5, "spacegroup": "Fd-3m, No. 227"}

{"formula": "FeTe2WCl", "functional": "PBE", "state": "relaxed", "lattice": [[-1.825, -3.914, 3.214], [2.469, -2.540, -1.691], [3.765, 1.236, 3.643]], "species": ["Fe", "Te", "Te", "Cl", "W"], "fractional_positions": [[0.000, 0.500, 0.000], [0.000, 0.000, 0.500], [0.500, 0.000, 0.000], [0.000, 0.000, 0.000], [0.500, 0.500, 0.500]], "magmom_total_mub_per_cell": 2.5, "e_form_raw_mev_per_atom": 1705.0, "spacegroup": "P4/mmm, No. 123"}

{"formula": "NaAlSn", "functional": "PBE", "state": "relaxed", "lattice": [[-1.466, -3.272, 3.058], [-8.051, -6.173, -10.462], [-2.032, -6.773, -4.590]], "species": ["Na", "Na", "Na", "Al", "Al", "Al", "Sn", "Sn", "Sn"], "fractional_positions": [[0.467, 0.817, 0.067], [0.995, 0.995, 0.009], [0.467, 0.117, 0.067], [0.969, 0.288, 0.062], [0.516, 0.516, 0.968], [0.969, 0.650, 0.062], [0.689, 0.514, 0.622], [0.801, 0.301, 0.398], [0.689, 0.864, 0.622]], "magmom_total_mub_per_cell": 0.0, "formation_enthalpy_0k_kj_per_mol_atoms": 0.0, "spacegroup": "Imm2, No. 44"}